## w
## KSbBr2 (SCAN)

Data for a PBEsol-optimized structure of KSbBr2.

## Properties
* magnetization: 0.00 μB per formula unit
* D(E_F): 0.16 states/eV per cell

Cell and atoms, written as POSCAR:
```
KSbBr2
1.0
-2.1249 3.0445 4.8505
2.1249 -3.0445 4.8505
2.1249 3.0445 -4.8505
K Sb Br
1 1 2
Cartesian
0.0000 0.0000 0.0000
0.0000 0.0000 4.8505
2.1249 0.0000 2.9136
0.0000 3.0445 1.9369
```

=====

## x
## KSbBr2 (SCAN)

Data for a PBEsol-optimized structure of KSbBr2.

## Properties
* magnetization: 0.00 μB per formula unit
* D(E_F): 1.04 states/eV per cell

Cell and atoms, written as POSCAR:
```
KSbBr2
1.0
3.7075 0.0000 0.0000
0.0000 4.6233 0.0000
-0.5250 0.0000 7.1793
K Sb Br
1 1 2
Cartesian
0.0000 0.0000 0.0000
1.5912 0.0000 3.5896
1.3083 2.3117 5.3662
1.8742 2.3117 1.8131
```

=====

Which of them is most stable, and which least? Most stable: w; least stable: x.

=====

## w
## OsCl2F (SCAN)

Data for a PBEsol-optimized structure of OsCl2F.

## Properties
* magnetization: 0.97 μB per formula unit
* D(E_F): 0.81 states/eV per cell

Cell and atoms, written as POSCAR:
```
OsCl2F
1.0
1.7749 1.0248 6.8804
-1.7749 1.0248 6.8804
0.0000 -2.0495 6.8804
Os Cl F
1 2 1
Cartesian
0.0000 0.0000 0.0000
0.0000 0.0000 8.0597
0.0000 0.0000 12.5816
0.0000 0.0000 10.3207
```

=====

## x
## OsCl2F (SCAN)

Data for a PBEsol-optimized structure of OsCl2F.

## Properties
* magnetization: 0.63 μB per formula unit
* D(E_F): 3.42 states/eV per cell

Cell and atoms, written as POSCAR:
```
OsCl2F
1.0
1.4416 0.8323 8.3073
-1.4416 0.8323 8.3073
0.0000 -1.6646 8.3073
Os Cl F
1 2 1
Cartesian
0.0000 0.0000 0.0000
0.0000 0.0000 2.1794
0.0000 0.0000 22.7426
0.0000 0.0000 12.4610
```

=====

Which of them is most stable, and which least? Most stable: w; least stable: x.

=====

## w
## TlSe2Br (SCAN)

Data for a PBEsol-optimized structure of TlSe2Br.

## Properties
* magnetization: 0.00 μB per formula unit
* D(E_F): 3.91 states/eV per cell

Cell and atoms, written as POSCAR:
```
TlSe2Br
1.0
5.3745 0.0000 0.0000
0.0000 5.3745 0.0000
0.0000 0.0000 3.2230
Tl Se Br
1 2 1
Cartesian
0.0000 0.0000 0.0000
0.0000 2.6873 1.6115
2.6873 0.0000 1.6115
2.6873 2.6873 0.0000
```

=====

## x
## TlSe2Br (SCAN)

Data for a PBEsol-optimized structure of TlSe2Br.

## Properties
* magnetization: 0.00 μB per formula unit
* D(E_F): 0.23 states/eV per cell

Cell and atoms, written as POSCAR:
```
TlSe2Br
1.0
-1.8859 2.9689 5.0657
1.8859 -2.9689 5.0657
1.8859 2.9689 -5.0657
Tl Se Br
1 2 1
Cartesian
0.0000 0.0000 0.0000
1.8859 0.0000 3.8122
0.0000 0.0000 5.4515
0.0000 2.9689 2.5248
```

=====

Which of them is most stable, and which least? Most stable: x; least stable: w.

=====

## w
## BN (SCAN)

Data for a PBEsol-optimized structure of BN.

## Properties
* magnetization: 0.00 μB per formula unit
* D(E_F): 0.00 states/eV per cell

Cell and atoms, written as POSCAR:
```
BN
1.0
3.6731 0.0000 0.0000
0.0000 4.9256 0.0000
-1.9201 0.0000 4.5422
B N
4 4
Cartesian
3.4010 0.6998 0.6425
2.4410 1.7630 2.9136
-0.6880 3.1626 1.6286
-1.6480 4.2258 3.8997
-1.6156 0.7719 3.8295
-0.6556 1.6909 1.5584
2.4086 3.2347 2.9838
3.3686 4.1538 0.7127
```

=====

## x
## BN (SCAN)

Data for a PBEsol-optimized structure of BN.

## Properties
* magnetization: 0.00 μB per formula unit
* D(E_F): 0.00 states/eV per cell

Cell and atoms, written as POSCAR:
```
BN
1.0
2.5051 0.0000 0.0000
-1.2525 2.1695 0.0000
0.0000 0.0000 7.0085
B N
2 2
Cartesian
0.0000 0.0000 1.7521
0.0000 0.0000 5.2564
0.0000 1.4463 1.7521
1.2525 0.7232 5.2564
```

=====

Which of them is most stable, and which least? Most stable: x; least stable: w.

=====

## w
## Re2TcBr (SCAN)

Data for a PBEsol-optimized structure of Re2TcBr.

## Properties
* magnetization: 0.00 μB per formula unit
* D(E_F): 4.05 states/eV per cell

Cell and atoms, written as POSCAR:
```
Re2TcBr
1.0
2.8638 0.0000 0.0000
0.0000 3.8261 0.0000
0.0000 0.0000 5.8067
Re Tc Br
2 1 1
Cartesian
0.0000 0.0000 1.2295
0.0000 0.0000 4.5773
1.4319 1.9130 0.0000
1.4319 1.9130 2.9034
```

=====

## x
## Re2TcBr (SCAN)

Data for a PBEsol-optimized structure of Re2TcBr.

## Properties
* magnetization: 0.00 μB per formula unit
* D(E_F): 5.36 states/eV per cell

Cell and atoms, written as POSCAR:
```
Re2TcBr
1.0
3.7097 0.0000 0.0000
0.0000 3.7097 0.0000
0.0000 0.0000 4.4741
Re Tc Br
2 1 1
Cartesian
0.0000 1.8549 0.0000
1.8549 0.0000 0.0000
0.0000 0.0000 2.2371
1.8549 1.8549 2.2371
```

=====

Which of them is most stable, and which least? Most stable: w; least stable: x.

=====

## w
## CrFeMo2 (SCAN)

Data for a PBEsol-optimized structure of CrFeMo2.

## Properties
* magnetization: 2.26 μB per formula unit
* D(E_F): 2.70 states/eV per cell

Cell and atoms, written as POSCAR:
```
CrFeMo2
1.0
1.5184 -2.1046 0.0000
1.5184 2.1046 0.0000
0.0000 0.0000 8.2795
Cr Fe Mo
1 1 2
Cartesian
0.0000 0.0000 0.0000
0.0000 0.0000 4.1397
1.5184 0.0000 2.0787
1.5184 0.0000 6.2007
```

=====

## x
## CrFeMo2 (SCAN)

Data for a PBEsol-optimized structure of CrFeMo2.

## Properties
* magnetization: 0.61 μB per formula unit
* D(E_F): 3.64 states/eV per cell

Cell and atoms, written as POSCAR:
```
CrFeMo2
1.0
1.3186 0.7613 8.7781
-1.3186 0.7613 8.7781
0.0000 -1.5225 8.7781
Cr Fe Mo
1 1 2
Cartesian
0.0000 0.0000 0.0000
0.0000 0.0000 19.3748
0.0000 0.0000 6.4986
0.0000 0.0000 12.7612
```

=====

Which of them is most stable, and which least? Most stable: w; least stable: x.